Record 1
## LiYPb (PBE)

Data for LiYPb after structural relaxation.

Energy, eV/atom: -4.442

abc: 16.302 4.542 8.716
angles: 74.90 20.74 90.00
Site moments in Bohr magnetons follow the coordinates.
Sites, in units of the cell vectors:
Y  0.327  0.000  0.000  0.09
Y  0.673  0.000  0.000  0.09
Li  0.000  0.500  0.000  0.03
Li  0.500  0.500  0.000  0.02
Pb  0.872  0.000  0.000  -0.01
Pb  0.128  0.000  0.000  -0.01

=====

Record 2
## LaAlGa4 (PBE)

Data for LaAlGa4 after structural relaxation.

Energy, eV/atom: -3.658

abc: 5.621 5.621 5.621
angles: 60.00 60.00 60.00
Sites, in units of the cell vectors:
Al  0.000  0.000  0.000
Ga  0.625  0.625  0.124
Ga  0.625  0.625  0.625
Ga  0.124  0.625  0.625
Ga  0.625  0.124  0.625
La  0.250  0.250  0.250

=====

Record 3
## RbZn2Cd3 (PBE)

Data for RbZn2Cd3 after structural relaxation.

Energy, eV/atom: -1.080

abc: 5.580 7.574 7.574
angles: 104.11 90.00 90.00
Sites, in units of the cell vectors:
Cd  0.250  0.933  0.532
Cd  0.250  0.935  0.935
Cd  0.750  0.065  0.065
Cd  0.750  0.468  0.067
Cd  0.750  0.067  0.468
Cd  0.250  0.532  0.933
Zn  0.500  0.209  0.791
Zn  0.000  0.791  0.209
Zn  0.000  0.209  0.791
Zn  0.500  0.791  0.209
Rb  0.750  0.650  0.650
Rb  0.250  0.350  0.350

=====

Record 4
## CeGdNi (PBE)

Data for CeGdNi after structural relaxation.

Energy, eV/atom: -8.753

abc: 3.454 3.454 6.517
angles: 105.37 105.37 90.00
Site moments in Bohr magnetons follow the coordinates.
Sites, in units of the cell vectors:
Gd  0.304  0.304  0.608  7.23
Ce  0.034  0.034  0.067  0.74
Ni  0.662  0.662  0.324  0.01

=====

Record 5
## PrNdCu (PBE)

Data for PrNdCu after structural relaxation.

Energy, eV/atom: -4.486

abc: 3.731 3.731 7.202
angles: 90.00 90.00 120.00
Sites, in units of the cell vectors:
Pr  0.333  0.667  0.621
Nd  0.000  0.000  0.047
Cu  0.667  0.333  0.332

=====

Record 6
## Sc8Hg (PBE)

Data for Sc8Hg after structural relaxation.

Energy, eV/atom: -5.704

abc: 4.524 7.230 7.230
angles: 95.62 108.23 71.77
Sites, in units of the cell vectors:
Sc  0.667  0.333  0.667
Sc  0.000  0.333  0.333
Sc  0.337  0.327  0.000
Sc  0.663  0.673  0.000
Sc  0.337  0.000  0.673
Sc  0.333  0.667  0.333
Sc  0.000  0.667  0.667
Sc  0.663  0.000  0.327
Hg  0.000  0.000  0.000

=====

Record 7
## U5TeSe5 (PBE)

Data for U5TeSe5 after structural relaxation.

Formation energy from raw total energies, eV/f.u.: -9.6

abc: 5.818 7.085 8.153
angles: 106.55 90.00 114.24
Site moments in Bohr magnetons follow the coordinates.
Sites, in units of the cell vectors:
U  0.175  0.350  0.829  2.37
U  0.172  0.343  0.346  -2.35
U  0.828  0.657  0.654  -2.35
U  0.825  0.650  0.171  2.37
U  0.500  0.000  0.000  -2.31
Se  0.656  0.311  0.338  0.04
Se  0.337  0.675  0.177  -0.01
Se  0.344  0.689  0.662  0.04
Se  0.663  0.325  0.823  -0.01
Se  0.000  0.000  0.500  0.01
Te  0.000  0.000  0.000  0.02

=====

Record 8
## Ac2SbPtAu6 (PBE)

Data for Ac2SbPtAu6 after structural relaxation.

Formation energy from raw total energies, eV/f.u.: -5.1

abc: 6.592 7.864 6.513
angles: 52.62 74.68 90.26
Sites, in units of the cell vectors:
Ac  0.211  0.794  0.416
Ac  0.789  0.206  0.584
Au  0.319  0.354  0.542
Au  0.895  0.682  0.962
Au  0.350  0.892  0.793
Au  0.681  0.646  0.458
Au  0.105  0.318  0.038
Au  0.650  0.108  0.207
Sb  0.500  0.500  0.000
Pt  0.000  0.000  0.000